Compound: SrIrRu2Pt
Source: Alexandria
Functional: PBE
Structure: optimized geometry

Lattice parameters (Å, degrees): 4.772 4.772 4.891 90.00 90.00 90.00
Element x y z (fractional)
Sr 0.000 0.000 0.000
Ir 0.000 0.000 0.500
Ru 0.000 0.500 0.000
Ru 0.500 0.000 0.000
Pt 0.500 0.500 0.500

Output
- ΔH_f (0 K) (meV per atom) = 2766
- DFT total energy (eV for the cell shown) = -21.303
- spin magnetization (μB/atom) = 0.904

***

Compound: CaTa4Ag
Source: Alexandria
Functional: PBE
Structure: optimized geometry

Lattice parameters (Å, degrees): 5.627 5.627 5.627 60.00 60.00 60.00
Element x y z (fractional)
Ca 0.000 0.000 0.000
Ta 0.119 0.627 0.627
Ta 0.627 0.119 0.627
Ta 0.627 0.627 0.119
Ta 0.627 0.627 0.627
Ag 0.250 0.250 0.250

Output
- ΔH_f (0 K) (meV per atom) = 548
- DFT total energy (eV for the cell shown) = -48.975
- spin magnetization (μB/atom) = 0.000

***

Compound: KGa2Te
Source: Alexandria
Functional: PBE
Structure: optimized geometry

Lattice parameters (Å, degrees): 8.737 8.737 6.585 90.00 90.00 90.00
Element x y z (fractional)
K 0.000 0.000 0.000
K 0.000 0.500 0.250
K 0.500 0.000 0.750
K 0.500 0.500 0.500
Ga 0.210 0.250 0.625
Ga 0.250 0.710 0.875
Ga 0.250 0.790 0.375
Ga 0.290 0.250 0.125
Ga 0.710 0.750 0.125
Ga 0.750 0.210 0.375
Ga 0.750 0.290 0.875
Ga 0.790 0.750 0.625
Te 0.000 0.000 0.500
Te 0.000 0.500 0.750
Te 0.500 0.000 0.250
Te 0.500 0.500 0.000

Output
- uncorrected formation energy (meV/atom) = -200
- DFT total energy (eV for the cell shown) = -44.366
- spin magnetization (μB/atom) = 0.000

***

Compound: CaTaNb2Se
Source: Alexandria
Functional: PBE
Structure: optimized geometry

Lattice parameters (Å, degrees): 4.837 4.837 5.992 90.00 90.00 90.00
Element x y z (fractional)
Ca 0.000 0.000 0.000
Ta 0.000 0.000 0.500
Nb 0.000 0.500 0.500
Nb 0.500 0.000 0.500
Se 0.500 0.500 0.000

Output
- uncorrected formation energy (meV/atom) = 1091
- DFT total energy (eV for the cell shown) = -32.024
- spin magnetization (μB/atom) = 0.000
- polymorph energy (0 for the lowest one) (meV/atom) = 0

***

Compound: Cs2ScN
Source: Alexandria
Functional: PBE
Structure: optimized geometry

Lattice parameters (Å, degrees): 7.944 7.944 7.944 90.00 90.00 90.00
Element x y z (fractional)
Cs 0.250 0.250 0.250
Cs 0.250 0.250 0.750
Cs 0.250 0.750 0.250
Cs 0.250 0.750 0.750
Cs 0.750 0.250 0.250
Cs 0.750 0.250 0.750
Cs 0.750 0.750 0.250
Cs 0.750 0.750 0.750
Sc 0.000 0.000 0.000
Sc 0.000 0.500 0.500
Sc 0.500 0.000 0.500
Sc 0.500 0.500 0.000
N 0.000 0.000 0.500
N 0.000 0.500 0.000
N 0.500 0.000 0.000
N 0.500 0.500 0.500

Output
- uncorrected formation energy (meV/atom) = 1587
- DFT total energy (eV for the cell shown) = -40.061
- spin magnetization (μB/atom) = 0.478
- polymorph energy (0 for the lowest one) (meV/atom) = 1546

***

Compound: LiLa2Br
Source: Alexandria
Functional: PBE
Structure: optimized geometry

Lattice parameters (Å, degrees): 4.418 4.418 12.114 90.00 90.00 90.00
Element x y z (fractional)
Li 0.000 0.000 0.000
Li 0.500 0.500 0.500
La 0.000 0.000 0.500
La 0.000 0.500 0.250
La 0.500 0.000 0.750
La 0.500 0.500 0.000
Br 0.000 0.500 0.750
Br 0.500 0.000 0.250

Output
- uncorrected formation energy (meV/atom) = -294
- DFT total energy (eV for the cell shown) = -29.238
- spin magnetization (μB/atom) = 0.009
- polymorph energy (0 for the lowest one) (meV/atom) = 256

***

Compound: BaNa2Si
Source: Alexandria
Functional: PBE
Structure: optimized geometry

Lattice parameters (Å, degrees): 7.639 7.639 7.639 90.00 90.00 90.00
Element x y z (fractional)
Ba 0.000 0.000 0.000
Ba 0.000 0.500 0.500
Ba 0.500 0.000 0.500
Ba 0.500 0.500 0.000
Na 0.250 0.250 0.250
Na 0.250 0.250 0.750
Na 0.250 0.750 0.250
Na 0.250 0.750 0.750
Na 0.750 0.250 0.250
Na 0.750 0.250 0.750
Na 0.750 0.750 0.250
Na 0.750 0.750 0.750
Si 0.000 0.000 0.500
Si 0.000 0.500 0.000
Si 0.500 0.000 0.000
Si 0.500 0.500 0.500

Output
- uncorrected formation energy (meV/atom) = 12
- DFT total energy (eV for the cell shown) = -39.737
- spin magnetization (μB/atom) = 0.000

***

Compound: CsBa2NbOs
Source: Alexandria
Functional: PBE
Structure: optimized geometry

Lattice parameters (Å, degrees): 6.411 6.411 4.833 90.00 90.00 90.00
Element x y z (fractional)
Cs 0.000 0.000 0.000
Ba 0.000 0.500 0.500
Ba 0.500 0.000 0.500
Nb 0.500 0.500 0.500
Os 0.500 0.500 0.000

Output
- ΔH_f (0 K) (meV per atom) = 916
- DFT total energy (eV for the cell shown) = -21.418
- spin magnetization (μB/atom) = 0.000

***

Compound: BaAlAs2
Source: Alexandria
Functional: PBE
Structure: optimized geometry

Lattice parameters (Å, degrees): 4.560 4.560 17.212 90.00 90.00 120.00
Element x y z (fractional)
Ba 0.000 0.000 0.000
Ba 0.333 0.667 0.667
Ba 0.667 0.333 0.333
Al 0.000 0.000 0.500
Al 0.333 0.667 0.167
Al 0.667 0.333 0.833
As 0.000 0.000 0.209
As 0.000 0.000 0.791
As 0.333 0.667 0.457
As 0.333 0.667 0.876
As 0.667 0.333 0.124
As 0.667 0.333 0.543

Output
- ΔH_f (0 K) (meV per atom) = -501
- DFT total energy (eV for the cell shown) = -50.910
- spin magnetization (μB/atom) = 0.000

***

Compound: Zr4AgPd12
Source: Alexandria
Functional: PBE
Structure: optimized geometry

Lattice parameters (Å, degrees): 7.250 7.250 7.250 109.47 109.47 109.47
Element x y z (fractional)
Zr 0.000 0.000 0.500
Zr 0.000 0.500 0.000
Zr 0.500 0.000 0.000
Zr 0.500 0.500 0.500
Ag 0.000 0.000 0.000
Pd 0.000 0.299 0.299
Pd 0.000 0.701 0.701
Pd 0.250 0.500 0.750
Pd 0.250 0.750 0.500
Pd 0.299 0.000 0.299
Pd 0.299 0.299 0.000
Pd 0.500 0.250 0.750
Pd 0.500 0.750 0.250
Pd 0.701 0.000 0.701
Pd 0.701 0.701 0.000
Pd 0.750 0.250 0.500
Pd 0.750 0.500 0.250

Output
- ΔH_f (0 K) (meV per atom) = -469
- DFT total energy (eV for the cell shown) = -107.330
- spin magnetization (μB/atom) = 0.000

***

Compound: Pr4Ho2Tm3
Source: Alexandria
Functional: PBE
Structure: optimized geometry

Lattice parameters (Å, degrees): 9.836 9.836 7.075 90.00 90.00 120.20
Element x y z (fractional)
Pr 0.149 0.181 0.000
Pr 0.151 0.471 0.500
Pr 0.181 0.149 0.500
Pr 0.471 0.151 0.000
Pr 0.529 0.849 0.000
Pr 0.819 0.851 0.500
Pr 0.849 0.529 0.500
Pr 0.851 0.819 0.000
Ho 0.180 0.529 0.000
Ho 0.471 0.820 0.500
Ho 0.529 0.180 0.500
Ho 0.820 0.471 0.000
Tm 0.171 0.829 0.250
Tm 0.171 0.829 0.750
Tm 0.500 0.500 0.250
Tm 0.500 0.500 0.750
Tm 0.829 0.171 0.250
Tm 0.829 0.171 0.750

Output
- ΔH_f (0 K) (meV per atom) = 50
- DFT total energy (eV for the cell shown) = -82.480
- spin magnetization (μB/atom) = 0.000
- polymorph energy (0 for the lowest one) (meV/atom) = 0

***

Compound: Er3Ge3Rh2
Source: Alexandria
Functional: PBE
Structure: optimized geometry

Lattice parameters (Å, degrees): 5.643 5.643 14.132 90.00 90.00 135.30
Element x y z (fractional)
Er 0.083 0.917 0.610
Er 0.083 0.917 0.890
Er 0.355 0.645 0.750
Er 0.645 0.355 0.250
Er 0.917 0.083 0.110
Er 0.917 0.083 0.390
Ge 0.347 0.653 0.250
Ge 0.381 0.619 0.537
Ge 0.381 0.619 0.963
Ge 0.619 0.381 0.037
Ge 0.619 0.381 0.463
Ge 0.653 0.347 0.750
Rh 0.203 0.797 0.099
Rh 0.203 0.797 0.401
Rh 0.797 0.203 0.599
Rh 0.797 0.203 0.901

Output
- ΔH_f (0 K) (meV per atom) = -963
- DFT total energy (eV for the cell shown) = -99.898
- spin magnetization (μB/atom) = 0.000
- polymorph energy (0 for the lowest one) (meV/atom) = 0

***

Compound: LaTbSmAg
Source: Alexandria
Functional: PBE
Structure: optimized geometry

Lattice parameters (Å, degrees): 7.801 7.801 7.801 90.00 90.00 90.00
Element x y z (fractional)
La 0.000 0.000 0.000
La 0.000 0.500 0.500
La 0.500 0.000 0.500
La 0.500 0.500 0.000
Tb 0.250 0.250 0.250
Tb 0.250 0.750 0.750
Tb 0.750 0.250 0.750
Tb 0.750 0.750 0.250
Sm 0.000 0.000 0.500
Sm 0.000 0.500 0.000
Sm 0.500 0.000 0.000
Sm 0.500 0.500 0.500
Ag 0.250 0.250 0.750
Ag 0.250 0.750 0.250
Ag 0.750 0.250 0.250
Ag 0.750 0.750 0.750

Output
- ΔH_f (0 K) (meV per atom) = 64
- DFT total energy (eV for the cell shown) = -67.487
- spin magnetization (μB/atom) = 0.000
- polymorph energy (0 for the lowest one) (meV/atom) = 183